(1)
# CsLiPm2Cl8

A relaxed CsLiPm2Cl8 crystal (PBE-GGA, the Alexandria database).

```
data_CsLiPm2Cl8
_cell_length_a 6.901
_cell_length_b 8.668
_cell_length_c 7.028
_cell_angle_alpha 90.00
_cell_angle_beta 98.55
_cell_angle_gamma 90.00
_symmetry_space_group_name_H-M 'P 1 2/m 1'
_symmetry_Int_Tables_number 10
_symmetry_space_group_name_Hall '-P 2y'
loop_
_atom_site_label
_atom_site_fract_x
_atom_site_fract_y
_atom_site_fract_z
Cs1 0.000 0.000 0.000
Li1 0.000 0.500 0.000
Pm1 0.500 0.262 0.500
Cl1 0.235 0.301 0.183
Cl2 0.302 0.500 0.649
Cl3 0.311 0.000 0.629
```

---

(2)
# CsLiPrCl5

A relaxed CsLiPrCl5 crystal (PBE-GGA, the Alexandria database).

```
data_CsLiPrCl5
_cell_length_a 9.395
_cell_length_b 12.646
_cell_length_c 10.505
_cell_angle_alpha 90.00
_cell_angle_beta 114.01
_cell_angle_gamma 90.00
_symmetry_space_group_name_H-M 'C 1 2/c 1'
_symmetry_Int_Tables_number 15
_symmetry_space_group_name_Hall '-C 2yc'
loop_
_atom_site_label
_atom_site_fract_x
_atom_site_fract_y
_atom_site_fract_z
Cs1 0.000 0.158 0.250
Li1 0.000 0.191 0.750
Pr1 0.000 0.500 0.000
Cl1 0.000 0.428 0.250
Cl2 0.095 0.299 0.608
Cl3 0.196 0.070 0.910
```

---

(3)
# CsLi2PrCl6

A relaxed CsLi2PrCl6 crystal (PBE-GGA, the Alexandria database).

```
data_CsLi2PrCl6
_cell_length_a 6.774
_cell_length_b 6.775
_cell_length_c 9.238
_cell_angle_alpha 68.52
_cell_angle_beta 68.55
_cell_angle_gamma 60.02
_symmetry_space_group_name_H-M 'P -1'
_symmetry_Int_Tables_number 2
_symmetry_space_group_name_Hall '-P 1'
loop_
_atom_site_label
_atom_site_fract_x
_atom_site_fract_y
_atom_site_fract_z
Cs1 0.000 0.000 0.000
Li1 0.173 0.172 0.483
Pr1 0.500 0.500 0.500
Cl1 0.094 0.789 0.674
Cl2 0.211 0.557 0.325
Cl3 0.443 0.094 0.675
```

---

(4)
# CsLiPr2Cl8

A relaxed CsLiPr2Cl8 crystal (PBE-GGA, the Alexandria database).

```
data_CsLiPr2Cl8
_cell_length_a 6.938
_cell_length_b 8.803
_cell_length_c 7.036
_cell_angle_alpha 90.00
_cell_angle_beta 98.46
_cell_angle_gamma 90.00
_symmetry_space_group_name_H-M 'P 1 2/m 1'
_symmetry_Int_Tables_number 10
_symmetry_space_group_name_Hall '-P 2y'
loop_
_atom_site_label
_atom_site_fract_x
_atom_site_fract_y
_atom_site_fract_z
Cs1 0.000 0.000 0.000
Li1 0.000 0.500 0.000
Pr1 0.500 0.262 0.500
Cl1 0.231 0.302 0.179
Cl2 0.301 0.500 0.651
Cl3 0.309 0.000 0.630
```

---

The records above yield energy relative to the elements, uncorrected values of -2101, -2103, -2039, -2097 meV per atom, respectively.
The records above yield size of the total moment values of 0.000, 0.000, 0.000, 0.000 μB per formula unit, respectively.